(1)
Compound: LaYPCl
Source: Alexandria
Functional: GGA-PBE
Structure: optimized geometry

The structure belongs to space group R3m (No. 160, hexagonal axes); the cell edges are 4.0313, 4.0313 and 21.7206 Å and the angles 90.00°, 90.00° and 120.00°. The asymmetric unit holds La at (0.0000, 0.0000, 0.0000), Y at (0.0000, 0.0000, 0.8080), P at (0.0000, 0.0000, 0.4111) and Cl at (0.0000, 0.0000, 0.2306).

The uncorrected formation energy is -6.44 eV per formula unit. The density of states at the Fermi level is 4.16 states/eV/cell. For the spin magnetization, the calculation gives 0.00 μB/atom.


(2)
Compound: LaYPCl2
Source: Alexandria
Functional: GGA-PBE
Structure: optimized geometry

The structure belongs to space group P4/mmm (No. 123); the cell edges are 5.332, 5.332 and 5.910 Å and the angles 90.00°, 90.00° and 90.00°. The asymmetric unit holds La at (0.000, 0.000, 0.000), Y at (0.500, 0.500, 0.500), P at (0.000, 0.000, 0.500) and Cl at (0.000, 0.500, 0.000).

The uncorrected formation energy is -4.68 eV per formula unit. The density of states at the Fermi level is 1.92 states/eV/cell. For the spin magnetization, the calculation gives 0.19 μB/atom.


(3)
Compound: LaYPCl2
Source: Alexandria
Functional: GGA-PBE
Structure: optimized geometry

The structure belongs to space group P4/mmm (No. 123); the cell edges are 5.070, 5.070 and 5.517 Å and the angles 90.00°, 90.00° and 90.00°. The asymmetric unit holds La at (0.000, 0.000, 0.000), Y at (0.500, 0.500, 0.500), P at (0.500, 0.500, 0.000) and Cl at (0.000, 0.500, 0.500).

The uncorrected formation energy is -6.45 eV per formula unit. The density of states at the Fermi level is 5.44 states/eV/cell. For the spin magnetization, the calculation gives 0.09 μB/atom.


(4)
Compound: La2YP2Cl2
Source: Alexandria
Functional: GGA-PBE
Structure: optimized geometry

The structure belongs to space group I4/mmm (No. 139); the cell edges are 5.297, 5.297 and 14.828 Å and the angles 90.00°, 90.00° and 90.00°. The asymmetric unit holds La at (0.000, 0.000, 0.109), Y at (0.000, 0.000, 0.500), P at (0.000, 0.500, 0.000) and Cl at (0.000, 0.000, 0.306).

The uncorrected formation energy is -10.91 eV per formula unit. The density of states at the Fermi level is 7.55 states/eV/cell. For the spin magnetization, the calculation gives 0.11 μB/atom.


(5)
Compound: La8ZnP3Cl4
Source: Alexandria
Functional: GGA-PBE
Structure: optimized geometry

The structure belongs to space group R-3m (No. 166, hexagonal axes); the cell edges are 8.5099, 8.5099 and 20.8109 Å and the angles 90.00°, 90.00° and 120.00°. The asymmetric unit holds La at (0.0000, 0.0000, 0.2415), La at (0.0093, 0.5047, 0.7551), Zn at (0.0000, 0.0000, 0.5000), P at (0.0000, 0.5000, 0.5000), Cl at (0.0000, 0.0000, 0.0000) and Cl at (0.0000, 0.5000, 0.0000).

The uncorrected formation energy is -23.82 eV per formula unit. The density of states at the Fermi level is 36.37 states/eV/cell. For the spin magnetization, the calculation gives 0.00 μB/atom.


(6)
Compound: La6ZnP2Cl3
Source: Alexandria
Functional: GGA-PBE
Structure: optimized geometry

The structure belongs to space group C2/m (No. 12); the cell edges are 18.548, 4.229 and 8.572 Å and the angles 90.00°, 102.48° and 90.00°. The asymmetric unit holds La at (0.006, 0.000, 0.253), La at (0.167, 0.500, 0.097), La at (0.171, 0.500, 0.568), Zn at (0.000, 0.500, 0.000), P at (0.169, 0.000, 0.333), Cl at (0.000, 0.500, 0.500) and Cl at (0.165, 0.000, 0.829).

The uncorrected formation energy is -17.08 eV per formula unit. The density of states at the Fermi level is 17.97 states/eV/cell. For the spin magnetization, the calculation gives 0.00 μB/atom.


(7)
Compound: LaZrP2Cl
Source: Alexandria
Functional: GGA-PBE
Structure: optimized geometry

The structure belongs to space group P4/mmm (No. 123); the cell edges are 5.076, 5.076 and 4.843 Å and the angles 90.00°, 90.00° and 90.00°. The asymmetric unit holds La at (0.000, 0.000, 0.000), Zr at (0.500, 0.500, 0.500), P at (0.000, 0.500, 0.500) and Cl at (0.500, 0.500, 0.000).

The uncorrected formation energy is -4.97 eV per formula unit. The density of states at the Fermi level is 1.73 states/eV/cell. For the spin magnetization, the calculation gives 0.00 μB/atom.


(8)
Compound: LaZrP2Cl
Source: Alexandria
Functional: GGA-PBE
Structure: optimized geometry

The structure belongs to space group P4/mmm (No. 123); the cell edges are 5.466, 5.466 and 5.143 Å and the angles 90.00°, 90.00° and 90.00°. The asymmetric unit holds La at (0.000, 0.000, 0.000), Zr at (0.500, 0.500, 0.500), P at (0.000, 0.500, 0.000) and Cl at (0.000, 0.000, 0.500).

The uncorrected formation energy is 1.29 eV per formula unit. The density of states at the Fermi level is 6.30 states/eV/cell. For the spin magnetization, the calculation gives 0.00 μB/atom.


(9)
Compound: La3PbCl
Source: Alexandria
Functional: GGA-PBE
Structure: optimized geometry

The structure belongs to space group Pm-3m (No. 221); the cell edges are 5.453, 5.453 and 5.453 Å and the angles 90.00°, 90.00° and 90.00°. The asymmetric unit holds La at (0.000, 0.000, 0.500), Pb at (0.500, 0.500, 0.500) and Cl at (0.000, 0.000, 0.000).

The uncorrected formation energy is -3.70 eV per formula unit. The density of states at the Fermi level is 7.00 states/eV/cell. For the spin magnetization, the calculation gives 0.00 μB/atom.


(10)
Compound: LaPb3Cl
Source: Alexandria
Functional: GGA-PBE
Structure: optimized geometry

The structure belongs to space group Pm-3m (No. 221); the cell edges are 6.214, 6.214 and 6.214 Å and the angles 90.00°, 90.00° and 90.00°. The asymmetric unit holds La at (0.000, 0.000, 0.000), Pb at (0.000, 0.000, 0.500) and Cl at (0.500, 0.500, 0.500).

The uncorrected formation energy is 2.35 eV per formula unit. The density of states at the Fermi level is 10.80 states/eV/cell. For the spin magnetization, the calculation gives 0.00 μB/atom.


(11)
Compound: La5Pb3Cl
Source: Alexandria
Functional: GGA-PBE
Structure: optimized geometry

The structure belongs to space group P6_3/mcm (No. 193); the cell edges are 9.7639, 9.7639 and 6.9479 Å and the angles 90.00°, 90.00° and 120.00°. The asymmetric unit holds La at (0.0000, 0.2590, 0.2500), La at (0.3333, 0.6667, 0.0000), Pb at (0.0000, 0.3870, 0.7500) and Cl at (0.0000, 0.0000, 0.0000).

The uncorrected formation energy is -8.31 eV per formula unit. The density of states at the Fermi level is 17.47 states/eV/cell. For the spin magnetization, the calculation gives 0.00 μB/atom.


(12)
Compound: LaPb2Cl
Source: Alexandria
Functional: GGA-PBE
Structure: optimized geometry

The structure belongs to space group Cmm2 (No. 35); the cell edges are 5.303, 5.353 and 8.975 Å and the angles 90.00°, 90.00° and 90.00°. The asymmetric unit holds La at (0.000, 0.000, 0.000), Pb at (0.000, 0.000, 0.463), Pb at (0.000, 0.500, 0.254) and Cl at (0.000, 0.500, 0.834).

The uncorrected formation energy is -3.21 eV per formula unit. The density of states at the Fermi level is 4.52 states/eV/cell. For the spin magnetization, the calculation gives 0.00 μB/atom.


(13)
Compound: LaPb2Cl
Source: Alexandria
Functional: GGA-PBE
Structure: optimized geometry

The structure belongs to space group Cmmm (No. 65); the cell edges are 3.797, 6.160 and 10.503 Å and the angles 90.00°, 90.00° and 90.00°. The asymmetric unit holds La at (0.000, 0.000, 0.000), Pb at (0.000, 0.500, 0.273) and Cl at (0.000, 0.000, 0.500).

The uncorrected formation energy is -1.06 eV per formula unit. The density of states at the Fermi level is 7.31 states/eV/cell. For the spin magnetization, the calculation gives 0.00 μB/atom.


(14)
Compound: LaPb3Cl
Source: Alexandria
Functional: GGA-PBE
Structure: optimized geometry

The structure belongs to space group Pm-3m (No. 221); the cell edges are 5.529, 5.529 and 5.529 Å and the angles 90.00°, 90.00° and 90.00°. The asymmetric unit holds La at (0.000, 0.000, 0.000), Pb at (0.000, 0.500, 0.500) and Cl at (0.500, 0.500, 0.500).

The uncorrected formation energy is -0.46 eV per formula unit. The density of states at the Fermi level is 5.47 states/eV/cell. For the spin magnetization, the calculation gives 0.00 μB/atom.


(15)
Compound: LaPb2Cl
Source: Alexandria
Functional: GGA-PBE
Structure: optimized geometry

The structure belongs to space group Imm2 (No. 44); the cell edges are 3.624, 6.164 and 11.052 Å and the angles 90.00°, 90.00° and 90.00°. The asymmetric unit holds La at (0.000, 0.000, 0.000), Pb at (0.000, 0.000, 0.523), Pb at (0.000, 0.500, 0.777) and Cl at (0.000, 0.500, 0.300).

The uncorrected formation energy is -2.74 eV per formula unit. The density of states at the Fermi level is 6.08 states/eV/cell. For the spin magnetization, the calculation gives 0.00 μB/atom.


(16)
Compound: LaPb2Cl
Source: Alexandria
Functional: GGA-PBE
Structure: optimized geometry

The structure belongs to space group P4/mmm (No. 123); the cell edges are 5.713, 5.713 and 3.749 Å and the angles 90.00°, 90.00° and 90.00°. The asymmetric unit holds La at (0.000, 0.000, 0.000), Pb at (0.000, 0.500, 0.500) and Cl at (0.500, 0.500, 0.000).

The uncorrected formation energy is -1.99 eV per formula unit. The density of states at the Fermi level is 2.28 states/eV/cell. For the spin magnetization, the calculation gives 0.00 μB/atom.


(17)
Compound: LaPb2Cl
Source: Alexandria
Functional: GGA-PBE
Structure: optimized geometry

The structure belongs to space group R3m (No. 160, hexagonal axes); the cell edges are 4.8713, 4.8713 and 17.7298 Å and the angles 90.00°, 90.00° and 120.00°. The asymmetric unit holds La at (0.0000, 0.0000, 0.0000), Pb at (0.0000, 0.0000, 0.5249), Pb at (0.0000, 0.0000, 0.7827) and Cl at (0.0000, 0.0000, 0.2982).

The uncorrected formation energy is -3.57 eV per formula unit. The density of states at the Fermi level is 1.24 states/eV/cell. For the spin magnetization, the calculation gives 0.00 μB/atom.


(18)
Compound: LaPb2Cl8
Source: Alexandria
Functional: GGA-PBE
Structure: optimized geometry

The structure belongs to space group C2/m (No. 12); the cell edges are 18.186, 4.750 and 7.107 Å and the angles 90.00°, 108.08° and 90.00°. The asymmetric unit holds La at (0.000, 0.000, 0.000), Pb at (0.187, 0.500, 0.683), Cl at (0.027, 0.500, 0.798), Cl at (0.094, 0.000, 0.421), Cl at (0.160, 0.000, 0.962) and Cl at (0.215, 0.500, 0.312).

The uncorrected formation energy is -15.09 eV per formula unit. The density of states at the Fermi level is 23.30 states/eV/cell. For the spin magnetization, the calculation gives 0.00 μB/atom.


(19)
Compound: LaPb2Cl
Source: Alexandria
Functional: GGA-PBE
Structure: optimized geometry

The structure belongs to space group P4/mmm (No. 123); the cell edges are 4.346, 4.346 and 6.162 Å and the angles 90.00°, 90.00° and 90.00°. The asymmetric unit holds La at (0.000, 0.000, 0.000), Pb at (0.000, 0.500, 0.500) and Cl at (0.500, 0.500, 0.000).

The uncorrected formation energy is -3.01 eV per formula unit. The density of states at the Fermi level is 4.21 states/eV/cell. For the spin magnetization, the calculation gives 0.00 μB/atom.


(20)
Compound: LaPb2Cl
Source: Alexandria
Functional: GGA-PBE
Structure: optimized geometry

The structure belongs to space group Pmmm (No. 47); the cell edges are 3.771, 5.535 and 5.957 Å and the angles 90.00°, 90.00° and 90.00°. The asymmetric unit holds La at (0.000, 0.000, 0.000), Pb at (0.500, 0.500, 0.245) and Cl at (0.000, 0.000, 0.500).

The uncorrected formation energy is -2.34 eV per formula unit. The density of states at the Fermi level is 3.54 states/eV/cell. For the spin magnetization, the calculation gives 0.00 μB/atom.